# 1
## Pm2TmPd (PBE)

Data for Pm2TmPd after structural relaxation.

Geometry as POSCAR:
```
Pm2TmPd
1.0
6.8301 0.0000 0.0000
0.0000 10.5446 0.0000
-0.3253 0.0000 6.3371
Pm Tm Pd
8 4 4
Direct
0.1710 0.1105 0.4755
0.1710 0.8895 0.9755
0.2498 0.4341 0.4068
0.2498 0.5659 0.9068
0.7502 0.4341 0.0932
0.7502 0.5659 0.5932
0.8290 0.1105 0.0245
0.8290 0.8895 0.5245
0.3367 0.2236 0.9736
0.3367 0.7764 0.4736
0.6633 0.2236 0.5264
0.6633 0.7764 0.0264
0.0000 0.3382 0.7500
0.0000 0.6618 0.2500
0.5000 0.0013 0.7500
0.5000 0.9987 0.2500
```

Results
Total energy (Ry per atom): -0.3784
Density of states at the Fermi level (states/eV per atom): 1.272
Distance to the lowest polymorph of the same formula (kJ/mol of formula units): 0
SG: P2/c (13)

# 2
## PmTm3Pd (PBE)

Data for PmTm3Pd after structural relaxation.

Geometry as POSCAR:
```
PmTm3Pd
1.0
5.7462 -4.1641 0.0000
5.7462 4.1641 0.0000
-4.6480 0.0000 6.2051
Pm Tm Pd
2 6 2
Direct
0.0431 0.0431 0.3082
0.9569 0.9569 0.6918
0.0993 0.5028 0.2664
0.4257 0.4257 0.7271
0.4972 0.9007 0.7336
0.5028 0.0993 0.2664
0.5743 0.5743 0.2729
0.9007 0.4972 0.7336
0.2767 0.2767 0.9297
0.7233 0.7233 0.0703
```

Results
Total energy (Ry per atom): -0.3645
Density of states at the Fermi level (states/eV per atom): 1.361
SG: C2/m (12)

# 3
## PmTm3Pd12 (PBE)

Data for PmTm3Pd12 after structural relaxation.

Geometry as POSCAR:
```
PmTm3Pd12
1.0
4.1142 0.0000 0.0000
0.0000 4.1142 0.0000
0.0000 0.0000 16.5005
Pm Tm Pd
1 3 12
Direct
0.0000 0.0000 0.0000
0.0000 0.0000 0.2537
0.0000 0.0000 0.5000
0.0000 0.0000 0.7463
0.0000 0.5000 0.1300
0.0000 0.5000 0.3765
0.0000 0.5000 0.6235
0.0000 0.5000 0.8700
0.5000 0.0000 0.1300
0.5000 0.0000 0.3765
0.5000 0.0000 0.6235
0.5000 0.0000 0.8700
0.5000 0.5000 0.0000
0.5000 0.5000 0.2528
0.5000 0.5000 0.5000
0.5000 0.5000 0.7472
```

Results
Total energy (Ry per atom): -0.4344
Density of states at the Fermi level (states/eV per atom): 0.787
SG: P4/mmm (123)

# 4
## PmTm3Pd2 (PBE)

Data for PmTm3Pd2 after structural relaxation.

Geometry as POSCAR:
```
PmTm3Pd2
1.0
3.5272 0.0000 0.0000
0.0000 3.5272 0.0000
0.0000 0.0000 11.8527
Pm Tm Pd
1 3 2
Direct
0.0000 0.0000 0.0000
0.5000 0.5000 0.2192
0.5000 0.5000 0.5000
0.5000 0.5000 0.7808
0.0000 0.0000 0.3579
0.0000 0.0000 0.6421
```

Results
Total energy (Ry per atom): -0.3944
Density of states at the Fermi level (states/eV per atom): 0.807
Distance to the lowest polymorph of the same formula (kJ/mol of formula units): 0
SG: P4/mmm (123)

# 5
## PmTm2Pd (PBE)

Data for PmTm2Pd after structural relaxation.

Geometry as POSCAR:
```
PmTm2Pd
1.0
7.0597 0.0000 0.0000
0.0000 9.6040 0.0000
0.0000 0.0000 6.4813
Pm Tm Pd
4 8 4
Direct
0.0151 0.2500 0.1319
0.4849 0.7500 0.6319
0.5151 0.2500 0.3681
0.9849 0.7500 0.8681
0.1784 0.0601 0.6733
0.1784 0.4399 0.6733
0.3216 0.5601 0.1733
0.3216 0.9399 0.1733
0.6784 0.0601 0.8267
0.6784 0.4399 0.8267
0.8216 0.5601 0.3267
0.8216 0.9399 0.3267
0.1121 0.7500 0.4260
0.3879 0.2500 0.9260
0.6121 0.7500 0.0740
0.8879 0.2500 0.5740
```

Results
Total energy (Ry per atom): -0.3819
Density of states at the Fermi level (states/eV per atom): 1.120
Distance to the lowest polymorph of the same formula (kJ/mol of formula units): 0
SG: Pnma (62)

# 6
## PmTmZnPd (PBE)

Data for PmTmZnPd after structural relaxation.

Geometry as POSCAR:
```
PmTmZnPd
1.0
3.5754 0.0000 0.0000
0.0000 3.5754 0.0000
0.0000 0.0000 7.0535
Pm Tm Zn Pd
1 1 1 1
Direct
0.0000 0.0000 0.0000
0.0000 0.0000 0.4906
0.5000 0.5000 0.7284
0.5000 0.5000 0.2729
```

Results
Total energy (Ry per atom): -0.3327
Density of states at the Fermi level (states/eV per atom): 0.768
Distance to the lowest polymorph of the same formula (kJ/mol of formula units): 0
SG: P4mm (99)

# 7
## PmTmZnPd (PBE)

Data for PmTmZnPd after structural relaxation.

Geometry as POSCAR:
```
PmTmZnPd
1.0
0.0000 3.5635 3.5635
3.5635 0.0000 3.5635
3.5635 3.5635 0.0000
Pm Tm Zn Pd
1 1 1 1
Direct
0.0000 0.0000 0.0000
0.5000 0.5000 0.5000
0.2500 0.2500 0.2500
0.7500 0.7500 0.7500
```

Results
Total energy (Ry per atom): -0.3302
Density of states at the Fermi level (states/eV per atom): 0.702
Distance to the lowest polymorph of the same formula (kJ/mol of formula units): 13
SG: F-43m (216)

# 8
## PmUPd4 (PBE)

Data for PmUPd4 after structural relaxation.

Geometry as POSCAR:
```
PmUPd4
1.0
0.0000 3.8691 3.8691
3.8691 0.0000 3.8691
3.8691 3.8691 0.0000
Pm U Pd
1 1 4
Direct
0.0000 0.0000 0.0000
0.2500 0.2500 0.2500
0.1260 0.6247 0.6247
0.6247 0.1260 0.6247
0.6247 0.6247 0.1260
0.6247 0.6247 0.6247
```

Results
Total energy (Ry per atom): -0.4869
Density of states at the Fermi level (states/eV per atom): 1.535
SG: F-43m (216)